First-principles (GGA-PBEsol) data for a relaxed CsTl2Ag2 crystal, as listed in the Alexandria database.

abc: 5.1833 5.1833 11.0996
angles: 90.00 90.00 90.00
Closest atoms and distances in Å follow each position.
Space group I4/mmm (No. 139)
Unique sites:
1 Cs 0.0000 0.0000 0.0000 [2 per cell]  8 Ag 3.80, 10 Tl 3.95-4.00
2 Tl 0.0000 0.0000 0.3559 [4 per cell]  4 Ag 2.85
3 Ag 0.0000 0.5000 0.2500 [4 per cell]  4 Tl 2.85

Output
The value obtained for the total energy is -2.511 eV/atom. For the density of states at the Fermi level, the calculation gives 0.406 states/eV per atom. For the energy of formation from the pure elements, the calculation gives 0.05 eV per atom. Its volume is 29.82 Å³/atom.